(1)
# PBE-GGA SnAu7, relaxed
# Energy = -3.389 eV per atom
# Size of the total moment = 0.0 Bohr magnetons per cell
# Formation energy from the elements = -0.021 eV/atom
# E above lowest polymorph = 0.000 eV per atom
data_SnAu7
_chemical_formula_sum 'Sn1 Au7'
_cell_length_a 4.2597
_cell_length_b 5.2279
_cell_length_c 7.7591
_cell_angle_alpha 91.74
_cell_angle_beta 74.72
_cell_angle_gamma 65.91
_symmetry_space_group_name_H-M 'P 1'
_symmetry_Int_Tables_number 1
loop_
_symmetry_equiv_pos_as_xyz
'x,y,z'
loop_
_atom_site_label
_atom_site_type_symbol
_atom_site_fract_x
_atom_site_fract_y
_atom_site_fract_z
Sn1 Sn 0.0000 0.0000 0.0000
Au1 Au 0.8704 0.8780 0.3797
Au2 Au 0.7558 0.7427 0.7486
Au3 Au 0.6198 0.6262 0.1310
Au4 Au 0.5000 0.5000 0.5000
Au5 Au 0.3802 0.3738 0.8690
Au6 Au 0.2442 0.2573 0.2514
Au7 Au 0.1296 0.1220 0.6203

***

(2)
# PBE-GGA Sn3Au, relaxed
# Energy = -3.822 eV per atom
# Size of the total moment = 0.0 Bohr magnetons per cell
# Formation energy from the elements = 0.000 eV/atom
# E above lowest polymorph = 0.070 eV per atom
data_Sn3Au
_chemical_formula_sum 'Sn3 Au1'
_cell_length_a 3.7024
_cell_length_b 3.2582
_cell_length_c 8.6102
_cell_angle_alpha 90.00
_cell_angle_beta 90.00
_cell_angle_gamma 90.00
_symmetry_space_group_name_H-M 'P 1'
_symmetry_Int_Tables_number 1
loop_
_symmetry_equiv_pos_as_xyz
'x,y,z'
loop_
_atom_site_label
_atom_site_type_symbol
_atom_site_fract_x
_atom_site_fract_y
_atom_site_fract_z
Au1 Au 0.0000 0.0000 0.9768
Sn1 Sn 0.0000 0.5000 0.4680
Sn2 Sn 0.5000 0.5000 0.1641
Sn3 Sn 0.5000 0.0000 0.7244

***

(3)
# PBE-GGA Sn3Au, relaxed
# Energy = -3.773 eV per atom
# Size of the total moment = 0.0 Bohr magnetons per cell
# Formation energy from the elements = 0.049 eV/atom
# E above lowest polymorph = 0.119 eV per atom
data_Sn3Au
_chemical_formula_sum 'Sn6 Au2'
_cell_length_a 6.5654
_cell_length_b 6.5654
_cell_length_c 5.3515
_cell_angle_alpha 90.00
_cell_angle_beta 90.00
_cell_angle_gamma 120.00
_symmetry_space_group_name_H-M 'P 1'
_symmetry_Int_Tables_number 1
loop_
_symmetry_equiv_pos_as_xyz
'x,y,z'
loop_
_atom_site_label
_atom_site_type_symbol
_atom_site_fract_x
_atom_site_fract_y
_atom_site_fract_z
Sn1 Sn 0.1714 0.3427 0.2500
Sn2 Sn 0.6573 0.8286 0.2500
Sn3 Sn 0.1714 0.8286 0.2500
Sn4 Sn 0.8286 0.6573 0.7500
Sn5 Sn 0.3427 0.1714 0.7500
Sn6 Sn 0.8286 0.1714 0.7500
Au1 Au 0.3333 0.6667 0.7500
Au2 Au 0.6667 0.3333 0.2500

***

(4)
# PBE-GGA Sn3Au8, relaxed
# Energy = -3.531 eV per atom
# Size of the total moment = 0.0 Bohr magnetons per cell
# Formation energy from the elements = -0.056 eV/atom
# E above lowest polymorph = 0.000 eV per atom
data_Sn3Au8
_chemical_formula_sum 'Sn3 Au8'
_cell_length_a 4.7804
_cell_length_b 5.3283
_cell_length_c 11.7954
_cell_angle_alpha 115.47
_cell_angle_beta 74.90
_cell_angle_gamma 124.12
_symmetry_space_group_name_H-M 'P 1'
_symmetry_Int_Tables_number 1
loop_
_symmetry_equiv_pos_as_xyz
'x,y,z'
loop_
_atom_site_label
_atom_site_type_symbol
_atom_site_fract_x
_atom_site_fract_y
_atom_site_fract_z
Sn1 Sn 0.0000 0.0000 0.0000
Sn2 Sn 0.8698 0.7821 0.3472
Sn3 Sn 0.1302 0.2179 0.6528
Au1 Au 0.7122 0.4371 0.0830
Au2 Au 0.2878 0.5629 0.9170
Au3 Au 0.5456 0.0898 0.8152
Au4 Au 0.4544 0.9102 0.1848
Au5 Au 0.8296 0.6428 0.7274
Au6 Au 0.1704 0.3572 0.2726
Au7 Au 0.6267 0.2659 0.4528
Au8 Au 0.3733 0.7341 0.5472

***

(5)
# PBE-GGA Sn2Au5, relaxed
# Energy = -3.561 eV per atom
# Size of the total moment = 0.0 Bohr magnetons per cell
# Formation energy from the elements = -0.076 eV/atom
data_Sn2Au5
_chemical_formula_sum 'Sn4 Au10'
_cell_length_a 6.5678
_cell_length_b 6.8880
_cell_length_c 7.8879
_cell_angle_alpha 111.57
_cell_angle_beta 114.60
_cell_angle_gamma 90.00
_symmetry_space_group_name_H-M 'P 1'
_symmetry_Int_Tables_number 1
loop_
_symmetry_equiv_pos_as_xyz
'x,y,z'
loop_
_atom_site_label
_atom_site_type_symbol
_atom_site_fract_x
_atom_site_fract_y
_atom_site_fract_z
Sn1 Sn 0.3109 0.6222 0.2215
Sn2 Sn 0.0894 0.8778 0.7785
Sn3 Sn 0.6891 0.3778 0.7785
Sn4 Sn 0.9106 0.1222 0.2215
Au1 Au 0.1035 0.4653 0.7767
Au2 Au 0.3268 0.0347 0.2233
Au3 Au 0.6803 0.4224 0.4349
Au4 Au 0.2454 0.0776 0.5651
Au5 Au 0.3197 0.5776 0.5651
Au6 Au 0.7546 0.9224 0.4349
Au7 Au 0.6732 0.9653 0.7767
Au8 Au 0.8965 0.5347 0.2233
Au9 Au 0.5731 0.7500 0.0000
Au10 Au 0.4269 0.2500 0.0000

***

(6)
# PBE-GGA Sn2Au, relaxed
# Energy = -3.898 eV per atom
# Size of the total moment = 0.0 Bohr magnetons per cell
# Formation energy from the elements = -0.137 eV/atom
data_Sn2Au
_chemical_formula_sum 'Sn16 Au8'
_cell_length_a 7.0486
_cell_length_b 7.2015
_cell_length_c 11.9453
_cell_angle_alpha 90.00
_cell_angle_beta 90.00
_cell_angle_gamma 90.00
_symmetry_space_group_name_H-M 'P 1'
_symmetry_Int_Tables_number 1
loop_
_symmetry_equiv_pos_as_xyz
'x,y,z'
loop_
_atom_site_label
_atom_site_type_symbol
_atom_site_fract_x
_atom_site_fract_y
_atom_site_fract_z
Sn1 Sn 0.6315 0.5285 0.3288
Sn2 Sn 0.1315 0.9715 0.6712
Sn3 Sn 0.3685 0.0285 0.1712
Sn4 Sn 0.8685 0.4715 0.8288
Sn5 Sn 0.3685 0.4715 0.6712
Sn6 Sn 0.8685 0.0285 0.3288
Sn7 Sn 0.6315 0.9715 0.8288
Sn8 Sn 0.1315 0.5285 0.1712
Sn9 Sn 0.8540 0.2490 0.0914
Sn10 Sn 0.3540 0.2510 0.9086
Sn11 Sn 0.1460 0.7490 0.4086
Sn12 Sn 0.6460 0.7510 0.5914
Sn13 Sn 0.1460 0.7510 0.9086
Sn14 Sn 0.6460 0.7490 0.0914
Sn15 Sn 0.8540 0.2510 0.5914
Sn16 Sn 0.3540 0.2490 0.4086
Au1 Au 0.5111 0.8892 0.3826
Au2 Au 0.0111 0.6108 0.6174
Au3 Au 0.4889 0.3892 0.1174
Au4 Au 0.9889 0.1108 0.8826
Au5 Au 0.4889 0.1108 0.6174
Au6 Au 0.9889 0.3892 0.3826
Au7 Au 0.5111 0.6108 0.8826
Au8 Au 0.0111 0.8892 0.1174